Record 1
SiH2S | the Alexandria database | PBE-GGA | optimized geometry; symmetry = No. 11
1.0
3.3158 0.0000 0.0000
0.0000 8.7069 0.0000
-0.0037 0.0000 5.0201
Si H S
2 4 2
Direct
0.2446 0.2500 0.4175
0.7554 0.7500 0.5825
0.2449 0.1098 0.5881
0.2449 0.3902 0.5881
0.7551 0.6098 0.4119
0.7551 0.8902 0.4119
0.2557 0.7500 0.8545
0.7443 0.2500 0.1455

=====

Record 2
Si2H6S | the Alexandria database | PBE-GGA | optimized geometry; symmetry = No. 60
1.0
8.0587 0.0000 0.0000
0.0000 14.4911 0.0000
0.0000 0.0000 8.8763
Si H S
16 48 8
Direct
0.0772 0.2188 0.0049
0.0772 0.7812 0.5049
0.2466 0.4701 0.3889
0.2466 0.5299 0.8889
0.2534 0.0299 0.8889
0.2534 0.9701 0.3889
0.4228 0.2812 0.5049
0.4228 0.7188 0.0049
0.5772 0.2812 0.9951
0.5772 0.7188 0.4951
0.7466 0.0299 0.6111
0.7466 0.9701 0.1111
0.7534 0.4701 0.1111
0.7534 0.5299 0.6111
0.9228 0.2188 0.4951
0.9228 0.7812 0.9951
0.0741 0.2916 0.1226
0.0741 0.7084 0.6226
0.0789 0.0013 0.3681
0.0789 0.9987 0.8681
0.0850 0.1697 0.5059
0.0850 0.8303 0.0059
0.1243 0.2568 0.8549
0.1243 0.7432 0.3549
0.1351 0.4516 0.9272
0.1351 0.5484 0.4272
0.1880 0.4213 0.2509
0.1880 0.5787 0.7509
0.3120 0.0787 0.7509
0.3120 0.9213 0.2509
0.3649 0.0484 0.4272
0.3649 0.9516 0.9272
0.3757 0.2432 0.3549
0.3757 0.7568 0.8549
0.4150 0.3303 0.0059
0.4150 0.6697 0.5059
0.4211 0.4987 0.8681
0.4211 0.5013 0.3681
0.4259 0.2084 0.6226
0.4259 0.7916 0.1226
0.5741 0.2084 0.8774
0.5741 0.7916 0.3774
0.5789 0.4987 0.6319
0.5789 0.5013 0.1319
0.5850 0.3303 0.4941
0.5850 0.6697 0.9941
0.6243 0.2432 0.1451
0.6243 0.7568 0.6451
0.6351 0.0484 0.0728
0.6351 0.9516 0.5728
0.6880 0.0787 0.7491
0.6880 0.9213 0.2491
0.8120 0.4213 0.2491
0.8120 0.5787 0.7491
0.8649 0.4516 0.5728
0.8649 0.5484 0.0728
0.8757 0.2568 0.6451
0.8757 0.7432 0.1451
0.9150 0.1697 0.9941
0.9150 0.8303 0.4941
0.9211 0.0013 0.1319
0.9211 0.9987 0.6319
0.9259 0.2916 0.3774
0.9259 0.7084 0.8774
0.2344 0.3773 0.5791
0.2344 0.6227 0.0791
0.2656 0.1227 0.0791
0.2656 0.8773 0.5791
0.7344 0.1227 0.4209
0.7344 0.8773 0.9209
0.7656 0.3773 0.9209
0.7656 0.6227 0.4209

=====

Record 3
SiH2S3 | the Alexandria database | PBE-GGA | optimized geometry; symmetry = No. 44
1.0
-1.7356 5.6544 3.1718
1.7356 -5.6544 3.1718
1.7356 5.6544 -3.1718
Si H S
1 2 3
Direct
0.0000 0.0000 0.0000
0.2799 0.0522 0.2276
0.8246 0.0522 0.7724
0.0630 0.2100 0.8530
0.3569 0.2100 0.1470
0.7863 0.2863 0.5000

=====

Record 4
SiH2S | the Alexandria database | PBE-GGA | optimized geometry; symmetry = No. 122
1.0
-2.5472 2.5472 3.5067
2.5472 -2.5472 3.5067
2.5472 2.5472 -3.5067
Si H S
2 4 2
Direct
0.0000 0.0000 0.0000
0.7500 0.2500 0.5000
0.3750 0.2031 0.3281
0.7969 0.1250 0.1719
0.8750 0.0469 0.6719
0.9531 0.6250 0.8281
0.2500 0.7500 0.5000
0.5000 0.5000 0.0000

=====

Record 5
SiH2S | the Alexandria database | PBE-GGA | optimized geometry; symmetry = No. 225
1.0
0.0000 2.6331 2.6331
2.6331 0.0000 2.6331
2.6331 2.6331 0.0000
Si H S
1 2 1
Direct
0.0000 0.0000 0.0000
0.2500 0.2500 0.2500
0.7500 0.7500 0.7500
0.5000 0.5000 0.5000

=====

Record 6
Si2HS | the Alexandria database | PBE-GGA | optimized geometry; symmetry = No. 225
1.0
0.0000 2.9503 2.9503
2.9503 0.0000 2.9503
2.9503 2.9503 0.0000
Si H S
2 1 1
Direct
0.2500 0.2500 0.2500
0.7500 0.7500 0.7500
0.0000 0.0000 0.0000
0.5000 0.5000 0.5000

=====

Record 7
SiHS2 | the Alexandria database | PBE-GGA | optimized geometry; symmetry = No. 166
1.0
1.7713 1.0227 5.8507
-1.7713 1.0227 5.8507
0.0000 -2.0454 5.8507
Si H S
1 1 2
Direct
0.0000 0.0000 0.0000
0.5000 0.5000 0.5000
0.4072 0.4072 0.4072
0.5928 0.5928 0.5928

=====

Record 8
SiHS2 | the Alexandria database | PBE-GGA | optimized geometry; symmetry = No. 46
1.0
-2.9898 7.7594 1.7118
2.9898 -7.7594 1.7118
2.9898 7.7594 -1.7118
Si H S
2 2 4
Direct
0.0000 0.0000 0.0000
0.0000 0.5000 0.5000
0.1720 0.0761 0.5958
0.4803 0.5761 0.4042
0.0781 0.2037 0.3744
0.4428 0.7507 0.1921
0.5586 0.2507 0.8079
0.8293 0.7037 0.6256

=====

Record 9
Si2HS | the Alexandria database | PBE-GGA | optimized geometry; symmetry = No. 122
1.0
-2.4464 2.4464 4.8504
2.4464 -2.4464 4.8504
2.4464 2.4464 -4.8504
Si H S
4 2 2
Direct
0.0296 0.6250 0.9046
0.3750 0.2796 0.4046
0.7204 0.1250 0.0954
0.8750 0.9704 0.5954
0.0000 0.0000 0.0000
0.7500 0.2500 0.5000
0.2500 0.7500 0.5000
0.5000 0.5000 0.0000

=====

Record 10
SiH2S2 | the Alexandria database | PBE-GGA | optimized geometry; symmetry = No. 12
1.0
6.3032 -1.2186 0.0000
6.3032 1.2186 0.0000
-0.0655 0.0000 4.8900
Si H S
1 2 2
Direct
0.0000 0.0000 0.0000
0.4419 0.4419 0.8255
0.5581 0.5581 0.1745
0.1333 0.1333 0.7067
0.8667 0.8667 0.2933

=====

Record 11
Tm4SiHS2 | the Alexandria database | PBE-GGA | optimized geometry; symmetry = No. 42
1.0
0.0000 5.4829 3.8662
3.8388 0.0000 3.8662
3.8388 5.4829 0.0000
Tm Si H S
4 1 1 2
Direct
0.2468 0.7532 0.2468
0.5059 0.9718 0.4941
0.7532 0.2468 0.7532
0.9718 0.5059 0.0282
0.0060 0.0060 0.9940
0.5425 0.5425 0.4575
0.2492 0.2492 0.2508
0.7492 0.7492 0.7508

=====

Quick rundown of calculated total energy, same order as above: -17.3 -36.2 -26.7 -13.8 -12.7 -15.2 -17.3 -17.7 -16.2 -19.7 -44.6 eV per formula unit